Record 1
## MgFeHg2 (PBEsol)

Data for crystalline MgFeHg2 at its relaxed geometry.

Cell: 3.127 3.127 7.281 Å, 90.00 90.00 90.00°
Last column: magnetic moment on the atom in μB.
Atoms (fractional coordinates):
Hg: 0.000 0.000 0.732  -0.01
Mg: 0.500 0.500 0.000  0.00
Fe: 0.500 0.500 0.500  2.79
Hg: 0.000 0.000 0.268  -0.01

Values from the calculation:
Calculated formation energy   123 meV/atom
SG   P4/mmm

Record 2
## Mn2FeHg (PBEsol)

Data for crystalline Mn2FeHg at its relaxed geometry.

Cell: 2.800 3.190 5.837 Å, 90.00 90.00 90.00°
Last column: magnetic moment on the atom in μB.
Atoms (fractional coordinates):
Mn: 0.000 0.000 0.056  1.55
Hg: 0.500 0.500 0.748  -0.03
Fe: 0.000 0.000 0.449  2.11
Mn: 0.500 0.500 0.247  0.69

Values from the calculation:
Calculated formation energy   381 meV/atom
SG   Pmm2

Record 3
## ZrMnFeHg2 (PBEsol)

Data for crystalline ZrMnFeHg2 at its relaxed geometry.

Cell: 4.501 5.361 5.361 Å, 90.00 90.00 90.00°
Last column: magnetic moment on the atom in μB.
Atoms (fractional coordinates):
Hg: 0.000 0.500 0.000  -0.05
Hg: 0.000 0.000 0.500  -0.05
Fe: 0.500 0.500 0.500  3.31
Zr: 0.000 0.000 0.000  -0.60
Mn: 0.500 0.000 0.000  2.70

Values from the calculation:
Calculated formation energy   1563 meV/atom
SG   P4/mmm

Record 4
## FeHgMo2 (PBEsol)

Data for crystalline FeHgMo2 at its relaxed geometry.

Cell: 2.689 5.007 5.007 Å, 115.38 90.00 90.00°
Last column: magnetic moment on the atom in μB.
Atoms (fractional coordinates):
Mo: 0.000 0.500 0.000  -0.03
Hg: 0.500 0.000 0.000  -0.01
Fe: 0.500 0.500 0.500  2.33
Mo: 0.000 0.000 0.500  -0.03

Values from the calculation:
Calculated formation energy   493 meV/atom
SG   Cmmm

Record 5
## FeHgMo2 (PBEsol)

Data for crystalline FeHgMo2 at its relaxed geometry.

Cell: 3.250 3.250 5.884 Å, 90.00 90.00 90.00°
Last column: magnetic moment on the atom in μB.
Atoms (fractional coordinates):
Mo: 0.000 0.000 0.801  -0.04
Hg: 0.500 0.500 0.500  0.00
Fe: 0.500 0.500 0.000  1.93
Mo: 0.000 0.000 0.199  -0.04

Values from the calculation:
Calculated formation energy   362 meV/atom
SG   P4/mmm

Record 6
## FeHg2Mo (PBEsol)

Data for crystalline FeHg2Mo at its relaxed geometry.

Cell: 2.919 4.796 5.587 Å, 115.41 105.14 90.00°
Last column: magnetic moment on the atom in μB.
Atoms (fractional coordinates):
Hg: 0.241 0.741 0.482  -0.01
Hg: 0.021 0.021 0.043  0.01
Mo: 0.466 0.466 0.933  -0.02
Fe: 0.771 0.271 0.542  2.17

Values from the calculation:
Calculated formation energy   525 meV/atom
SG   Imm2

Record 7
## FeHgN2 (PBEsol)

Data for crystalline FeHgN2 at its relaxed geometry.

Cell: 2.904 2.904 6.410 Å, 76.91 76.91 60.00°
Last column: magnetic moment on the atom in μB.
Atoms (fractional coordinates):
N: 0.886 0.886 0.342  0.09
N: 0.114 0.114 0.658  0.09
Fe: 0.500 0.500 0.500  1.79
Hg: 0.000 0.000 0.000  -0.01

Values from the calculation:
ΔE_f (raw)   0.39 eV/atom
SG   R-3m

Record 8
## FeHgN2O (PBEsol)

Data for crystalline FeHgN2O at its relaxed geometry.

Cell: 4.094 4.094 4.122 Å, 90.00 90.00 90.00°
Last column: magnetic moment on the atom in μB.
Atoms (fractional coordinates):
N: 0.000 0.500 0.000  0.64
Hg: 0.000 0.000 0.000  0.04
Fe: 0.500 0.500 0.500  3.63
N: 0.500 0.000 0.000  0.64
O: 0.000 0.000 0.500  0.22

Values from the calculation:
ΔE_f (raw)   2.07 eV/atom
SG   P4/mmm

Number 1: VASP energy -2.831 eV per atom, magnetic moment 2.74 μB per formula unit, density of states at the Fermi level 2.23 states/eV/f.u.. Number 2: VASP energy -6.882 eV per atom, magnetic moment 4.36 μB per formula unit, density of states at the Fermi level 4.58 states/eV/f.u.. Number 3: VASP energy -4.227 eV per atom, magnetic moment 5.35 μB per formula unit, density of states at the Fermi level 6.44 states/eV/f.u.. Number 4: VASP energy -7.773 eV per atom, magnetic moment 2.27 μB per formula unit, density of states at the Fermi level 3.60 states/eV/f.u.. Number 5: VASP energy -7.904 eV per atom, magnetic moment 1.88 μB per formula unit, density of states at the Fermi level 3.08 states/eV/f.u.. Number 6: VASP energy -4.942 eV per atom, magnetic moment 2.22 μB per formula unit, density of states at the Fermi level 3.65 states/eV/f.u.. Number 7: VASP energy -6.259 eV per atom, magnetic moment 2.00 μB per formula unit, density of states at the Fermi level 1.85 states/eV/f.u.. Number 8: VASP energy -4.298 eV per atom, magnetic moment 5.78 μB per formula unit, density of states at the Fermi level 3.15 states/eV/f.u..